Entry 1:
A plane-wave DFT calculation with PBE was carried out for a geometry-optimized Hf2VHg structure.

Results
ΔE_f ... 0.55 eV per formula unit
Fermi-level density of states ... 2.784 states/eV per cell
Electronic total energy ... -0.529 Ry per atom
Symmetry ... R-3m

abc: 9.4318 9.4318 9.4318
angles: 19.49 19.49 19.49
Atoms (fractional coordinates):
Hf1 0.2431 0.2431 0.2431
Hf2 0.7569 0.7569 0.7569
V1 0.5000 0.5000 0.5000
Hg1 0.0000 0.0000 0.0000

Entry 2:
A plane-wave DFT calculation with PBE was carried out for a geometry-optimized Hf2VHgW structure.

Results
ΔE_f ... 9.97 eV per formula unit
Fermi-level density of states ... 8.018 states/eV per cell
Electronic total energy ... -0.475 Ry per atom
Symmetry ... P4/mmm

abc: 5.1299 5.1299 5.0210
angles: 90.00 90.00 90.00
Atoms (fractional coordinates):
Hf1 0.0000 0.5000 0.0000
Hf2 0.5000 0.0000 0.0000
V1 0.0000 0.0000 0.5000
Hg1 0.5000 0.5000 0.0000
W1 0.5000 0.5000 0.5000

Entry 3:
A plane-wave DFT calculation with PBE was carried out for a geometry-optimized Hf2HgW structure.

Results
ΔE_f ... 3.39 eV per formula unit
Fermi-level density of states ... 5.540 states/eV per cell
Electronic total energy ... -0.547 Ry per atom
Symmetry ... I-42d

abc: 10.4151 10.4151 10.4151
angles: 157.08 157.08 32.64
Atoms (fractional coordinates):
Hf1 0.1146 0.6250 0.9896
Hf2 0.3750 0.3646 0.4896
Hf3 0.6354 0.1250 0.0104
Hf4 0.8750 0.8854 0.5104
Hg1 0.2500 0.7500 0.5000
Hg2 0.5000 0.5000 0.0000
W1 0.0000 0.0000 0.0000
W2 0.7500 0.2500 0.5000

Entry 4:
A plane-wave DFT calculation with PBE was carried out for a geometry-optimized Hf2HgW structure.

Results
ΔE_f ... -0.29 eV per formula unit
Fermi-level density of states ... 2.855 states/eV per cell
Electronic total energy ... -0.615 Ry per atom
Symmetry ... P4/mmm

abc: 3.4126 3.4126 6.8907
angles: 90.00 90.00 90.00
Atoms (fractional coordinates):
Hf1 0.0000 0.0000 0.2237
Hf2 0.0000 0.0000 0.7763
Hg1 0.5000 0.5000 0.5000
W1 0.5000 0.5000 0.0000

Entry 5:
A plane-wave DFT calculation with PBE was carried out for a geometry-optimized HfHgW3 structure.

Results
ΔE_f ... 13.60 eV per formula unit
Fermi-level density of states ... 8.090 states/eV per cell
Electronic total energy ... -0.522 Ry per atom
Symmetry ... Pm-3m

abc: 4.8929 4.8929 4.8929
angles: 90.00 90.00 90.00
Atoms (fractional coordinates):
Hf1 0.0000 0.0000 0.0000
Hg1 0.5000 0.5000 0.5000
W1 0.0000 0.5000 0.5000
W2 0.5000 0.0000 0.5000
W3 0.5000 0.5000 0.0000

Entry 6:
A plane-wave DFT calculation with PBE was carried out for a geometry-optimized HfHgW3 structure.

Results
ΔE_f ... 12.22 eV per formula unit
Fermi-level density of states ... 2.435 states/eV per cell
Electronic total energy ... -0.542 Ry per atom
Symmetry ... Pm-3m

abc: 4.8219 4.8219 4.8219
angles: 90.00 90.00 90.00
Atoms (fractional coordinates):
Hf1 0.0000 0.0000 0.0000
Hg1 0.5000 0.5000 0.5000
W1 0.0000 0.0000 0.5000
W2 0.0000 0.5000 0.0000
W3 0.5000 0.0000 0.0000

Entry 7:
A plane-wave DFT calculation with PBE was carried out for a geometry-optimized Hf2HgW structure.

Results
ΔE_f ... 2.01 eV per formula unit
Fermi-level density of states ... 4.163 states/eV per cell
Electronic total energy ... -0.572 Ry per atom
Symmetry ... R-3m

abc: 10.8551 10.8551 10.8551
angles: 15.82 15.82 15.82
Atoms (fractional coordinates):
Hf1 0.0852 0.0852 0.0852
Hf2 0.9148 0.9148 0.9148
Hg1 0.5000 0.5000 0.5000
W1 0.0000 0.0000 0.0000

Entry 8:
A plane-wave DFT calculation with PBE was carried out for a geometry-optimized HfHgW2 structure.

Results
ΔE_f ... 4.73 eV per formula unit
Fermi-level density of states ... 6.608 states/eV per cell
Electronic total energy ... -0.578 Ry per atom
Symmetry ... I-42d

abc: 6.0594 6.0594 6.0594
angles: 102.04 102.04 125.65
Atoms (fractional coordinates):
Hf1 0.0000 0.0000 0.0000
Hf2 0.7500 0.2500 0.5000
Hg1 0.2500 0.7500 0.5000
Hg2 0.5000 0.5000 0.0000
W1 0.1317 0.6250 0.0067
W2 0.3750 0.3817 0.5067
W3 0.6183 0.1250 0.9933
W4 0.8750 0.8683 0.4933

Entry 9:
A plane-wave DFT calculation with PBE was carried out for a geometry-optimized HfZnHg2W structure.

Results
ΔE_f ... 5.74 eV per formula unit
Fermi-level density of states ... 3.126 states/eV per cell
Electronic total energy ... -0.280 Ry per atom
Symmetry ... P4/mmm

abc: 4.7190 4.7190 4.8862
angles: 90.00 90.00 90.00
Atoms (fractional coordinates):
Hf1 0.0000 0.0000 0.0000
Zn1 0.5000 0.5000 0.5000
Hg1 0.0000 0.5000 0.5000
Hg2 0.5000 0.0000 0.5000
W1 0.5000 0.5000 0.0000

Entry 10:
A plane-wave DFT calculation with PBE was carried out for a geometry-optimized YHfHg structure.

Results
ΔE_f ... -0.47 eV per formula unit
Fermi-level density of states ... 1.923 states/eV per cell
Electronic total energy ... -0.421 Ry per atom
Symmetry ... I4mm

abc: 6.8012 6.8012 6.8012
angles: 151.05 151.05 41.41
Atoms (fractional coordinates):
Y1 0.0000 0.0000 0.0000
Hf1 0.3250 0.3250 0.0000
Hg1 0.6760 0.6760 0.0000

Entry 11:
A plane-wave DFT calculation with PBE was carried out for a geometry-optimized YHf2Hg structure.

Results
ΔE_f ... 1.58 eV per formula unit
Fermi-level density of states ... 13.969 states/eV per cell
Electronic total energy ... -0.461 Ry per atom
Symmetry ... I-42d

abc: 6.5789 6.5789 6.5789
angles: 101.92 101.92 125.94
Atoms (fractional coordinates):
Y1 0.0000 0.0000 0.0000
Y2 0.7500 0.2500 0.5000
Hf1 0.1619 0.6250 0.0369
Hf2 0.3750 0.4119 0.5369
Hf3 0.5881 0.1250 0.9631
Hf4 0.8750 0.8381 0.4631
Hg1 0.2500 0.7500 0.5000
Hg2 0.5000 0.5000 0.0000

Entry 12:
A plane-wave DFT calculation with PBE was carried out for a geometry-optimized Y2Hf2Hg structure.

Results
ΔE_f ... 3.59 eV per formula unit
Fermi-level density of states ... 10.384 states/eV per cell
Electronic total energy ... -0.434 Ry per atom
Symmetry ... I4/mmm

abc: 8.0369 8.0369 8.0369
angles: 149.16 149.16 44.18
Atoms (fractional coordinates):
Y1 0.2500 0.7500 0.5000
Y2 0.7500 0.2500 0.5000
Hf1 0.0857 0.0857 0.0000
Hf2 0.9143 0.9143 0.0000
Hg1 0.5000 0.5000 0.0000

Quick rundown of volume, same order as above: 20.4, 26.4, 21.4, 20.1, 23.4, 22.4, 20.7, 20.1, 21.8, 24.5, 25.7, 27.2 A^3/atom